1.
A relaxed structure of HgPd7. Source: the Open Quantum Materials Database, functional GGA-PBE.

## Properties
- Relative energy among the computed polymorphs: 0 meV/atom
- Space-group type: Pmmn (59)
- DFT total energy: -4.548 eV/atom
- Density: 9.093 g/cm3
- Energy relative to the elements: 0.018 eV per atom

Structure (extended XYZ):
```
16
Lattice="2.796 0.000 0.000 0.000 3.826 0.000 0.000 0.000 32.283" Properties=species:S:1:pos:R:3 pbc="T T T"
Hg 0.699 0.957 5.228
Hg 2.097 2.870 27.055
Pd 0.699 0.957 8.277
Pd 0.699 0.957 11.139
Pd 0.699 0.957 13.996
Pd 0.699 0.957 16.854
Pd 0.699 0.957 19.719
Pd 0.699 0.957 22.584
Pd 0.699 0.957 25.485
Pd 2.097 2.870 6.798
Pd 2.097 2.870 9.698
Pd 2.097 2.870 12.564
Pd 2.097 2.870 15.428
Pd 2.097 2.870 18.287
Pd 2.097 2.870 21.143
Pd 2.097 2.870 24.006
```

2.
A relaxed structure of TaTlBr2Cl2O. Source: the Open Quantum Materials Database, functional GGA-PBE.

## Properties
- Space-group type: C2 (5)
- DFT total energy: -5.191 eV/atom
- Total magnetization: 0.00 μB per formula unit
- Density: 5.173 g/cm3

Structure (extended XYZ):
```
14
Lattice="14.043 0.000 0.000 0.000 3.924 0.000 -2.192 0.000 7.364" Properties=species:S:1:pos:R:3 pbc="T T T"
Ta 0.000 0.000 0.000
Ta 7.022 1.962 0.000
Tl -1.096 2.076 3.682
Tl 5.925 0.114 3.682
Br 1.283 0.139 2.220
Br 3.546 2.101 5.145
Br 8.304 2.101 2.220
Br 10.568 0.139 5.145
Cl -0.122 0.145 6.169
Cl 4.951 2.107 1.195
Cl 6.900 2.107 6.169
Cl 11.973 0.145 1.195
O 0.000 2.073 0.000
O 7.022 0.111 0.000
```